Arrangement P

# BaTc2S2

A relaxed BaTc2S2 crystal (GGA-PBE, the Alexandria database).

Cell: 8.018 8.018 3.075 Å, 90.00 90.00 90.00°
Fractional coordinates of all 10 atoms:
S1 0.127 0.373 0.000
S2 0.873 0.627 0.000
S3 0.373 0.873 0.000
S4 0.627 0.127 0.000
Ba1 0.000 0.000 0.000
Ba2 0.500 0.500 0.000
Tc1 0.613 0.887 0.500
Tc2 0.887 0.387 0.500
Tc3 0.387 0.113 0.500
Tc4 0.113 0.613 0.500

Properties
symmetry	P4/mbm (127)
total magnetization	0.00	μB per formula unit

***

Arrangement Q

# BaTc2S2

A relaxed BaTc2S2 crystal (GGA-PBE, the Alexandria database).

Cell: 4.079 4.079 6.714 Å, 72.32 72.32 90.00°
Fractional coordinates of all 5 atoms:
Tc1 0.250 0.750 0.500
Tc2 0.750 0.250 0.500
Ba1 0.000 0.000 0.000
S1 0.653 0.653 0.693
S2 0.347 0.347 0.307

Properties
symmetry	I4/mmm (139)
total magnetization	0.00	μB per formula unit

***

arrangement Q (85.0 kJ/mol of atoms below the next structure)

***

Arrangement P

# Ba2TeS

A relaxed Ba2TeS crystal (GGA-PBE, the Alexandria database).

Cell: 5.783 5.783 5.783 Å, 60.00 60.00 60.00°
Fractional coordinates of all 4 atoms:
Ba1 0.250 0.250 0.250
Ba2 0.750 0.750 0.750
Te1 0.500 0.500 0.500
S1 0.000 0.000 0.000

Properties
symmetry	Fm-3m (225)
total magnetization	0.00	μB per formula unit

***

Arrangement Q

# Ba2TeS

A relaxed Ba2TeS crystal (GGA-PBE, the Alexandria database).

Cell: 8.438 8.438 7.740 Å, 56.97 56.97 90.00°
Fractional coordinates of all 8 atoms:
S1 0.250 0.750 0.500
S2 0.500 0.500 0.000
Ba1 0.375 0.410 0.750
Ba2 0.875 0.840 0.750
Ba3 0.590 0.125 0.250
Ba4 0.160 0.625 0.250
Te1 0.000 0.000 0.000
Te2 0.750 0.250 0.500

Properties
symmetry	I-42d (122)
total magnetization	0.00	μB per formula unit

***

arrangement Q (5.1 kJ/mol of atoms below the next structure)